DFT (PBE-GGA) results for Mn2BeIn after structural relaxation.

Summary:
Theoretical density ... 7.14 g/cm3
Energy above the lowest structure with this stoichiometry ... 190 meV/atom
Energy relative to the elements ... 345 meV per atom
SG ... No. 8

a = 4.625 Å, b = 4.625 Å, c = 4.512 Å
α = 107.66°, β = 107.66°, γ = 36.48°
Fractional positions:
Mn1 0.000 0.000 0.000
Mn2 0.736 0.736 0.183
Be1 0.460 0.460 0.406
In1 0.224 0.224 0.673